Computed, not measured: crystalline LaCdBr at its relaxed geometry at the GGA-PBE level of DFT.

Results
The value obtained for the total energy is -19.1 eV/cell. The energy above the most stable polymorph in this dataset is 305.8 meV/atom. Its total magnetic moment is 1.79 Bohr magnetons per cell. Its space group is C2/m, No. 12. The energy relative to the elements, uncorrected is -0.680 eV/atom.

Lattice parameters (Å, degrees): 4.0600 4.0612 16.7843 94.26 83.05 60.01
Each line ends with the local moment (μB).
Atoms (fractional coordinates):
1 La 0.7456 0.0997 0.4092  0.33
2 La 0.2544 0.9003 0.5908  0.33
3 Br 0.1832 0.3443 0.2893  0.01
4 Br 0.8168 0.6557 0.7107  0.01
5 Cd 0.1109 0.7136 0.0646  0.00
6 Cd 0.8891 0.2864 0.9354  0.00

---

Computed, not measured: crystalline La2CdBr at its relaxed geometry at the GGA-PBE level of DFT.

Results
The value obtained for the total energy is -15.2 eV/cell. The energy above the most stable polymorph in this dataset is 61.4 meV/atom. Its total magnetic moment is 0.00 Bohr magnetons per cell. Its space group is Amm2, No. 38. The energy relative to the elements, uncorrected is -0.699 eV/atom.

Lattice parameters (Å, degrees): 6.4104 6.4104 5.3790 90.00 90.00 33.34
Atoms (fractional coordinates):
1 Br 0.4933 0.4933 0.6254
2 Cd 0.2617 0.2617 0.1246
3 La 0.9997 0.9997 0.1254
4 La 0.7453 0.7453 0.6247

---

Computed, not measured: crystalline La2CdBr at its relaxed geometry at the GGA-PBE level of DFT.

Results
The value obtained for the total energy is -14.4 eV/cell. The energy above the most stable polymorph in this dataset is 281.4 meV/atom. Its total magnetic moment is 0.63 Bohr magnetons per cell. Its space group is I-4m2, No. 119. The energy relative to the elements, uncorrected is -0.479 eV/atom.

Lattice parameters (Å, degrees): 6.9798 6.9798 6.9798 142.42 142.42 54.20
Each line ends with the local moment (μB).
Atoms (fractional coordinates):
1 Cd 0.7500 0.2500 0.5000  0.01
2 La 0.2500 0.7500 0.5000  0.14
3 La 0.0000 0.0000 0.0000  0.13
4 Br 0.5000 0.5000 0.0000  0.01

---

Computed, not measured: crystalline La2CdBr at its relaxed geometry at the GGA-PBE level of DFT.

Results
The value obtained for the total energy is -15.4 eV/cell. The energy above the most stable polymorph in this dataset is 20.1 meV/atom. Its total magnetic moment is 0.00 Bohr magnetons per cell. Its space group is Pmmm, No. 47. The energy relative to the elements, uncorrected is -0.741 eV/atom.

Lattice parameters (Å, degrees): 3.8579 3.8793 8.8106 89.95 90.00 90.00
Atoms (fractional coordinates):
1 La 0.0000 0.2495 0.9712
2 La 0.0000 0.2505 0.5288
3 Cd 0.5000 0.7500 0.7500
4 Br 0.5000 0.2500 0.2500

---

Computed, not measured: crystalline LiLaCdBr2 at its relaxed geometry at the GGA-PBE level of DFT.

Results
The value obtained for the total energy is -14.3 eV/cell. Its total magnetic moment is 0.00 Bohr magnetons per cell. Its space group is P4/mmm, No. 123. The energy relative to the elements, uncorrected is -0.631 eV/atom.

Lattice parameters (Å, degrees): 5.7931 6.9342 5.7931 90.00 90.00 90.00
Atoms (fractional coordinates):
1 Br 0.5000 0.0000 0.0000
2 Br 0.0000 0.0000 0.5000
3 La 0.0000 0.0000 0.0000
4 Cd 0.5000 0.5000 0.5000
5 Li 0.0000 0.5000 0.0000

---

Computed, not measured: crystalline NaLaCdBr6 at its relaxed geometry at the GGA-PBE level of DFT.

Results
The value obtained for the total energy is -61.2 eV/cell. Its total magnetic moment is 0.00 Bohr magnetons per cell. Its space group is P-31c, No. 163. The energy relative to the elements, uncorrected is -1.490 eV/atom.

Lattice parameters (Å, degrees): 7.3372 7.3372 13.3934 90.00 90.00 120.00
Atoms (fractional coordinates):
1 Br 0.9860 0.3421 0.1281
2 Br 0.3561 0.0140 0.1281
3 Br 0.6579 0.6439 0.1281
4 Br 0.6579 0.0140 0.3719
5 Br 0.3421 0.3561 0.8719
6 Br 0.3561 0.3421 0.3719
7 Br 0.3421 0.9860 0.6281
8 Br 0.6439 0.6579 0.6281
9 Br 0.0140 0.3561 0.6281
10 Br 0.6439 0.9860 0.8719
11 Br 0.0140 0.6579 0.8719
12 Br 0.9860 0.6439 0.3719
13 Cd 0.3333 0.6667 0.7500
14 Cd 0.6667 0.3333 0.2500
15 La 0.3333 0.6667 0.2500
16 La 0.6667 0.3333 0.7500
17 Na 0.0000 0.0000 0.5000
18 Na 0.0000 0.0000 0.0000

---

Computed, not measured: crystalline LaNdCdBr at its relaxed geometry at the GGA-PBE level of DFT.

Results
The value obtained for the total energy is -14.5 eV/cell. Its total magnetic moment is 0.00 Bohr magnetons per cell. Its space group is F-43m, No. 216. The energy relative to the elements, uncorrected is -0.544 eV/atom.

Lattice parameters (Å, degrees): 5.4837 5.4837 5.4837 60.00 60.00 60.00
Atoms (fractional coordinates):
1 Cd 0.7500 0.7500 0.7500
2 La 0.5000 0.5000 0.5000
3 Nd 0.0000 0.0000 0.0000
4 Br 0.2500 0.2500 0.2500

---

Computed, not measured: crystalline LaPmCdBr at its relaxed geometry at the GGA-PBE level of DFT.

Results
The value obtained for the total energy is -14.4 eV/cell. Its total magnetic moment is 0.00 Bohr magnetons per cell. Its space group is F-43m, No. 216. The energy relative to the elements, uncorrected is -0.537 eV/atom.

Lattice parameters (Å, degrees): 5.4667 5.4667 5.4667 60.00 60.00 60.00
Atoms (fractional coordinates):
1 Br 0.2500 0.2500 0.2500
2 Cd 0.7500 0.7500 0.7500
3 Pm 0.0000 0.0000 0.0000
4 La 0.5000 0.5000 0.5000

---

Computed, not measured: crystalline LaPrCdBr at its relaxed geometry at the GGA-PBE level of DFT.

Results
The value obtained for the total energy is -14.5 eV/cell. Its total magnetic moment is 0.00 Bohr magnetons per cell. Its space group is F-43m, No. 216. The energy relative to the elements, uncorrected is -0.551 eV/atom.

Lattice parameters (Å, degrees): 5.4994 5.4994 5.4994 60.00 60.00 60.00
Atoms (fractional coordinates):
1 Br 0.2500 0.2500 0.2500
2 Pr 0.0000 0.0000 0.0000
3 La 0.5000 0.5000 0.5000
4 Cd 0.7500 0.7500 0.7500

---

Computed, not measured: crystalline LaCd2PtBr at its relaxed geometry at the GGA-PBE level of DFT.

Results
The value obtained for the total energy is -11.3 eV/cell. Its total magnetic moment is 0.25 Bohr magnetons per cell. Its space group is P4/mmm, No. 123. The energy relative to the elements, uncorrected is 0.642 eV/atom.

Lattice parameters (Å, degrees): 6.2745 5.5529 6.2745 90.00 90.00 90.00
Each line ends with the local moment (μB).
Atoms (fractional coordinates):
1 La 0.0000 0.0000 0.0000  -0.09
2 Cd 0.5000 0.0000 0.0000  -0.01
3 Cd 0.0000 0.0000 0.5000  0.00
4 Pt 0.5000 0.5000 0.5000  0.43
5 Br 0.0000 0.5000 0.0000  0.00

---

Computed, not measured: crystalline LaCdSe2Br at its relaxed geometry at the GGA-PBE level of DFT.

Results
The value obtained for the total energy is -18.0 eV/cell. The energy above the most stable polymorph in this dataset is 80.2 meV/atom. Its total magnetic moment is 0.00 Bohr magnetons per cell. Its space group is P4/mmm, No. 123. The energy relative to the elements, uncorrected is -0.701 eV/atom.

Lattice parameters (Å, degrees): 5.8201 5.8201 5.7639 90.00 90.00 90.00
Atoms (fractional coordinates):
1 Se 0.5000 0.0000 0.0000
2 Se 0.0000 0.5000 0.0000
3 Cd 0.5000 0.5000 0.5000
4 Br 0.0000 0.0000 0.5000
5 La 0.0000 0.0000 0.0000

---

Computed, not measured: crystalline LaCdSe2Br at its relaxed geometry at the GGA-PBE level of DFT.

Results
The value obtained for the total energy is -18.4 eV/cell. The energy above the most stable polymorph in this dataset is 0.0 meV/atom. Its total magnetic moment is 0.22 Bohr magnetons per cell. Its space group is P4/mmm, No. 123. The energy relative to the elements, uncorrected is -0.781 eV/atom.

Lattice parameters (Å, degrees): 5.3048 5.3048 5.2035 90.00 90.00 90.00
Each line ends with the local moment (μB).
Atoms (fractional coordinates):
1 Se 0.0000 0.5000 0.0000  -0.01
2 Se 0.5000 0.0000 0.0000  -0.01
3 La 0.5000 0.5000 0.5000  0.23
4 Cd 0.0000 0.0000 0.0000  0.00
5 Br 0.0000 0.0000 0.5000  0.00

---

Computed, not measured: crystalline LaTaCdBr2 at its relaxed geometry at the GGA-PBE level of DFT.

Results
The value obtained for the total energy is -17.7 eV/cell. Its total magnetic moment is 1.79 Bohr magnetons per cell. Its space group is P4/mmm, No. 123. The energy relative to the elements, uncorrected is 0.668 eV/atom.

Lattice parameters (Å, degrees): 5.3296 5.6224 5.3296 90.00 90.00 90.00
Each line ends with the local moment (μB).
Atoms (fractional coordinates):
1 Ta 0.0000 0.5000 0.0000  0.98
2 Cd 0.0000 0.0000 0.0000  0.01
3 Br 0.0000 0.0000 0.5000  0.01
4 Br 0.5000 0.0000 0.0000  0.00
5 La 0.5000 0.5000 0.5000  0.11

---

Computed, not measured: crystalline La6CdTc2Br3 at its relaxed geometry at the GGA-PBE level of DFT.

Results
The value obtained for the total energy is -64.6 eV/cell. Its total magnetic moment is 0.22 Bohr magnetons per cell. Its space group is C2/m, No. 12. The energy relative to the elements, uncorrected is -0.697 eV/atom.

Lattice parameters (Å, degrees): 4.1837 9.5864 10.3849 107.55 101.62 90.00
Atoms (fractional coordinates):
1 Cd 0.5000 0.0000 0.0000
2 Tc 0.1572 0.3340 0.3144
3 Tc 0.8428 0.6660 0.6856
4 Br 0.1717 0.8367 0.3434
5 Br 0.5000 0.5000 0.0000
6 Br 0.8283 0.1633 0.6566
7 La 0.6808 0.5603 0.3616
8 La 0.0317 0.2686 0.0633
9 La 0.9683 0.7314 0.9367
10 La 0.6664 0.1311 0.3328
11 La 0.3336 0.8689 0.6672
12 La 0.3192 0.4397 0.6384